VASP calculation (GGA-PBE) on crystalline HfBCl2 at its relaxed geometry.

```
data_HfBCl2
_cell_length_a 3.3743
_cell_length_b 3.3743
_cell_length_c 24.9723
_cell_angle_alpha 90.00
_cell_angle_beta 90.00
_cell_angle_gamma 120.00
_space_group_name_H-M_alt 'R -3 m'
_space_group_IT_number 166
_space_group_name_Hall '-R 3 2"'
loop_
_atom_site_label
_atom_site_type_symbol
_atom_site_fract_x
_atom_site_fract_y
_atom_site_fract_z
Hf1 Hf 0.0000 0.0000 0.0000
B1 B 0.0000 0.0000 0.5000
Cl1 Cl 0.0000 0.0000 0.0975
```

Results
* excess energy over the best structure of this formula in the dataset: 578.3 meV per atom
* electronic total energy: -4.559 eV per atom
* formation energy from raw total energies: 12.048 kcal/mol of atoms